No. 1
Compound: Li4Mn3Ni3Sb2O16
Source: Alexandria via LeMat-Bulk
Functional: GGA+U
Structure: optimized geometry

The structure in POSCAR format:
```
Li4Mn3Ni3Sb2O16
1.0
5.143 -2.965 0.000
5.143 2.965 0.000
-0.304 0.000 9.668
Li Mn Ni Sb O
4 3 3 2 16
direct
0.000 0.000 0.000 Li
0.003 0.003 0.496 Li
0.343 0.343 0.086 Li
0.678 0.678 0.578 Li
0.172 0.663 0.772 Mn
0.663 0.172 0.772 Mn
0.833 0.833 0.272 Mn
0.171 0.171 0.777 Ni
0.343 0.834 0.275 Ni
0.834 0.343 0.275 Ni
0.334 0.334 0.495 Sb
0.664 0.664 0.004 Sb
0.043 0.505 0.638 O
0.162 0.670 0.390 O
0.164 0.164 0.399 O
0.329 0.826 0.895 O
0.341 0.341 0.872 O
0.489 0.489 0.646 O
0.505 0.043 0.638 O
0.523 0.523 0.141 O
0.535 0.973 0.141 O
0.670 0.162 0.390 O
0.681 0.681 0.376 O
0.826 0.329 0.895 O
0.833 0.833 0.884 O
0.973 0.535 0.141 O
0.996 0.996 0.186 O
0.999 0.999 0.687 O
```

Summary:
Symmetry   No. 8
M_tot   13.00 μB/f.u.
DFT total energy   -5.9561 eV/atom

---

No. 2
Compound: Li4Mn3Ni2Sn3O16
Source: Alexandria via LeMat-Bulk
Functional: GGA+U
Structure: optimized geometry

The structure in POSCAR format:
```
Li4Mn3Ni2Sn3O16
1.0
5.250 -3.029 0.000
5.250 3.029 0.000
-0.030 0.000 9.730
Li Mn Ni Sn O
4 3 2 3 16
direct
0.000 0.000 0.000 Li
0.007 0.007 0.493 Li
0.313 0.313 0.379 Li
0.648 0.648 0.889 Li
0.156 0.156 0.715 Mn
0.324 0.816 0.213 Mn
0.816 0.324 0.213 Mn
0.321 0.321 0.990 Ni
0.653 0.653 0.485 Ni
0.155 0.649 0.712 Sn
0.649 0.155 0.712 Sn
0.817 0.817 0.211 Sn
0.020 0.458 0.834 O
0.148 0.148 0.111 O
0.155 0.674 0.100 O
0.309 0.309 0.597 O
0.309 0.840 0.603 O
0.458 0.020 0.834 O
0.469 0.469 0.839 O
0.491 0.947 0.332 O
0.504 0.504 0.326 O
0.641 0.641 0.104 O
0.674 0.155 0.100 O
0.833 0.833 0.589 O
0.840 0.309 0.603 O
0.947 0.491 0.332 O
0.996 0.996 0.310 O
0.997 0.997 0.816 O
```

Summary:
Symmetry   No. 8
M_tot   13.00 μB/f.u.
DFT total energy   -6.0744 eV/atom